Here is a relaxed TlCdIn6Pb2 crystal from the Alexandria database. Energies are from PBE-GGA.

```
TlCdIn6Pb2
1.0
9.008 0.000 0.389
0.000 8.095 0.000
0.429 0.000 8.185
Tl Cd In Pb
2 2 12 4
Direct
0.000 0.500 0.500
0.500 0.000 0.000
0.000 0.500 0.000
0.500 0.000 0.500
0.731 0.376 0.785
0.865 0.133 0.046
0.764 0.218 0.428
0.736 0.718 0.072
0.635 0.633 0.454
0.769 0.876 0.715
0.231 0.124 0.285
0.365 0.367 0.546
0.264 0.282 0.928
0.135 0.867 0.954
0.236 0.782 0.572
0.269 0.624 0.215
0.945 0.873 0.336
0.555 0.373 0.164
0.445 0.627 0.836
0.055 0.127 0.664
```

Summary:
Space group = P2_1/c, No. 14
Total DFT energy (no corrections) = -0.09661 hartree per atom
ΔE_f = 0.0840 eV per atom